First-principles (PBE-GGA) data for crystalline PmScIn4 at its relaxed geometry, as listed in Alexandria via LeMat-Bulk.

Cell and atoms, written as POSCAR:
```
PmScIn4
1.0
0.0000 4.2217 4.2217
4.2217 0.0000 4.2217
4.2217 4.2217 0.0000
Pm Sc In
1 1 4
direct
0.0000 0.0000 0.0000 Pm
0.2500 0.2500 0.2500 Sc
0.1255 0.6248 0.6248 In
0.6248 0.1255 0.6248 In
0.6248 0.6248 0.1255 In
0.6248 0.6248 0.6248 In
```

## Properties
For the mass density, the calculation gives 7.16 g cm⁻³. Its formation energy is -275.7 meV per atom. As for the volume: 25.1 Å³/atom.

---

First-principles (PBE-GGA) data for crystalline NdLuTc4 at its relaxed geometry, as listed in Alexandria via LeMat-Bulk.

Cell and atoms, written as POSCAR:
```
NdLuTc4
1.0
0.0000 3.8362 3.8362
3.8362 0.0000 3.8362
3.8362 3.8362 0.0000
Nd Lu Tc
1 1 4
direct
0.0000 0.0000 0.0000 Nd
0.7500 0.7500 0.7500 Lu
0.3752 0.3752 0.3752 Tc
0.3752 0.3752 0.8744 Tc
0.3752 0.8744 0.3752 Tc
0.8744 0.3752 0.3752 Tc
```

## Properties
For the mass density, the calculation gives 10.46 g cm⁻³. Its formation energy is -67.7 meV per atom. As for the volume: 18.8 Å³/atom.

---

First-principles (PBE-GGA) data for crystalline Hg2Pt at its relaxed geometry, as listed in Alexandria via LeMat-Bulk.

Cell and atoms, written as POSCAR:
```
Hg2Pt
1.0
0.0000 3.2589 3.2589
3.2589 0.0000 3.2589
3.2589 3.2589 0.0000
Hg Pt
2 1
direct
0.2500 0.2500 0.2500 Hg
0.7500 0.7500 0.7500 Hg
0.0000 0.0000 0.0000 Pt
```

## Properties
For the mass density, the calculation gives 14.30 g cm⁻³. Its formation energy is 45.3 meV per atom. As for the volume: 23.1 Å³/atom. As for the energy above the most stable polymorph in this dataset: 112 meV/atom.

---

First-principles (PBE-GGA) data for crystalline AcTl2B2S6 at its relaxed geometry, as listed in Alexandria via LeMat-Bulk.

Cell and atoms, written as POSCAR:
```
AcTl2B2S6
1.0
6.7433 0.0000 0.0000
-3.3716 5.8398 0.0000
0.0000 0.0000 8.2983
Ac Tl B S
1 2 2 6
direct
0.0000 0.0000 0.0000 Ac
0.3333 0.6667 0.3664 Tl
0.6667 0.3333 0.6336 Tl
0.3333 0.6667 0.7751 B
0.6667 0.3333 0.2249 B
0.1060 0.3704 0.7619 S
0.2644 0.8940 0.7619 S
0.3704 0.2644 0.2381 S
0.6296 0.7356 0.7619 S
0.7356 0.1060 0.2381 S
0.8940 0.6296 0.2381 S
```

## Properties
The value obtained for the raw formation energy is -7.57 eV per formula unit. For the mass density, the calculation gives 4.32 g cm⁻³. As for the volume: 29.7 Å³/atom.

---

Question: Number 1 is which compound?
Answer: PmScIn4